Here is crystalline BaRhN2 at its relaxed geometry from Alexandria via LeMat-Bulk. Energies are from PBE.

It has space group R-3m (No. 166, hexagonal axes), with a = 3.4448 Å, b = 3.4448 Å, c = 19.2757 Å, α = 90.00°, β = 90.00° and γ = 120.00°. The asymmetric unit holds Ba at (0.0000, 0.0000, 0.0000), Rh at (0.0000, 0.0000, 0.5000) and N at (0.0000, 0.0000, 0.1290).

Its energy relative to the elements, uncorrected is 761 meV/atom.